No. 1
Density functional theory data (PBE-GGA) for an optimized crystal structure of CsMg2In2Cl7.

POSCAR file:
```
CsMg2In2Cl7
1.0
3.599 2.078 10.657
-3.599 2.078 10.657
0.000 -4.156 10.657
Cs Mg In Cl
1 2 2 7
Direct
0.000 0.000 0.000 Cs
0.425 0.425 0.425 Mg
0.575 0.575 0.575 Mg
0.207 0.207 0.207 In
0.793 0.793 0.793 In
0.070 0.455 0.686 Cl
0.314 0.545 0.930 Cl
0.455 0.686 0.070 Cl
0.500 0.500 0.500 Cl
0.545 0.930 0.314 Cl
0.686 0.070 0.455 Cl
0.930 0.314 0.545 Cl
```

No. 2
Density functional theory data (PBE-GGA) for an optimized crystal structure of Cs2MgInCl5.

POSCAR file:
```
Cs2MgInCl5
1.0
-2.499 3.748 8.101
2.499 -3.748 8.101
2.499 3.748 -8.101
Cs Mg In Cl
2 1 1 5
Direct
0.210 0.210 0.000 Cs
0.790 0.790 0.000 Cs
0.000 0.500 0.500 Mg
0.500 0.000 0.500 In
0.000 0.000 0.000 Cl
0.134 0.390 0.744 Cl
0.354 0.610 0.744 Cl
0.646 0.390 0.256 Cl
0.866 0.610 0.256 Cl
```

Calculated values (μB per formula unit) of total magnetic moment for the records, taken in order: 0.00, 0.00.
Calculated values (eV/atom) of formation energy without anion corrections for the records, taken in order: -1.514, -1.644.